(1)
Material: CdIr2Pb
Method: DFT, PBE-GGA
State: relaxed

Lattice parameters (Å, degrees): 4.712 4.712 4.712 60.00 60.00 60.00
Fractional positions:
Cd  0.000  0.000  0.000
Ir  0.250  0.250  0.250
Ir  0.500  0.500  0.500
Pb  0.750  0.750  0.750

Output
symmetry = F-43m, No. 216
raw total energy = -4.99 eV per atom
size of the total moment = 0.1 μB/f.u.

***

(2)
Material: SrCdIrPb2
Method: DFT, PBE-GGA
State: relaxed

Lattice parameters (Å, degrees): 4.812 4.812 11.840 90.00 90.00 90.00
Fractional positions:
Sr  0.250  0.250  0.236
Sr  0.750  0.750  0.764
Cd  0.250  0.750  0.500
Cd  0.750  0.250  0.500
Ir  0.250  0.250  0.885
Ir  0.750  0.750  0.115
Pb  0.250  0.250  0.659
Pb  0.250  0.750  0.000
Pb  0.750  0.250  0.000
Pb  0.750  0.750  0.341

Output
symmetry = P4/nmm, No. 129
raw total energy = -3.95 eV per atom
size of the total moment = 0.0 μB/f.u.

***

(3)
Material: CdIr2Pd
Method: DFT, PBE-GGA
State: relaxed

Lattice parameters (Å, degrees): 4.489 4.489 4.489 60.00 60.00 60.00
Fractional positions:
Cd  0.000  0.000  0.000
Ir  0.250  0.250  0.250
Ir  0.500  0.500  0.500
Pd  0.750  0.750  0.750

Output
energy relative to the elements = 6.97 kcal/mol of atoms
symmetry = F-43m, No. 216
size of the total moment = 0.1 μB/f.u.

***

(4)
Material: CdIrPd
Method: DFT, PBE-GGA
State: relaxed

Lattice parameters (Å, degrees): 4.350 4.350 4.350 60.00 60.00 60.00
Fractional positions:
Cd  0.000  0.000  0.000
Ir  0.500  0.500  0.500
Pd  0.250  0.250  0.250

Output
energy relative to the elements = 11.80 kcal/mol of atoms
symmetry = F-43m, No. 216
size of the total moment = 1.0 μB/f.u.
distance to the lowest polymorph of the same formula = 0.000 eV per atom

***

(5)
Material: Cd2IrPd
Method: DFT, PBE-GGA
State: relaxed

Lattice parameters (Å, degrees): 4.599 4.599 4.599 60.00 60.00 60.00
Fractional positions:
Cd  0.000  0.000  0.000
Cd  0.250  0.250  0.250
Ir  0.750  0.750  0.750
Pd  0.500  0.500  0.500

Output
energy relative to the elements = 1.99 kcal/mol of atoms
symmetry = F-43m, No. 216
size of the total moment = 0.0 μB/f.u.

***

(6)
Material: Pm2CdIr2
Method: DFT, PBE-GGA
State: relaxed

Lattice parameters (Å, degrees): 4.767 4.767 12.654 90.00 90.00 120.00
Fractional positions:
Pm  0.333  0.667  0.085
Pm  0.333  0.667  0.415
Pm  0.667  0.333  0.585
Pm  0.667  0.333  0.915
Cd  0.000  0.000  0.250
Cd  0.000  0.000  0.750
Ir  0.333  0.667  0.647
Ir  0.333  0.667  0.853
Ir  0.667  0.333  0.147
Ir  0.667  0.333  0.353

Output
energy relative to the elements = -8.32 kcal/mol of atoms
symmetry = P6_3/mmc, No. 194
size of the total moment = 0.0 μB/f.u.
distance to the lowest polymorph of the same formula = 0.245 eV per atom

***

(7)
Material: Pm2CdIr2
Method: DFT, PBE-GGA
State: relaxed

Lattice parameters (Å, degrees): 5.843 5.843 8.416 105.91 105.91 56.87
Fractional positions:
Pm  0.015  0.695  0.853
Pm  0.305  0.985  0.647
Pm  0.695  0.015  0.353
Pm  0.985  0.305  0.147
Cd  0.345  0.655  0.250
Cd  0.655  0.345  0.750
Ir  0.199  0.515  0.482
Ir  0.485  0.801  0.018
Ir  0.515  0.199  0.982
Ir  0.801  0.485  0.518

Output
energy relative to the elements = -13.97 kcal/mol of atoms
symmetry = C2/c, No. 15
size of the total moment = 0.0 μB/f.u.
distance to the lowest polymorph of the same formula = 0.000 eV per atom

***

(8)
Material: Pr3CdIr
Method: DFT, PBE-GGA
State: relaxed

Lattice parameters (Å, degrees): 5.899 6.799 8.633 100.05 102.64 113.84
Fractional positions:
Pr  0.064  0.189  0.318
Pr  0.295  0.826  0.109
Pr  0.331  0.458  0.761
Pr  0.669  0.542  0.239
Pr  0.705  0.174  0.891
Pr  0.936  0.811  0.682
Cd  0.342  0.758  0.483
Cd  0.658  0.242  0.517
Ir  0.236  0.177  0.981
Ir  0.764  0.823  0.019

Output
energy relative to the elements = -9.59 kcal/mol of atoms
symmetry = P-1, No. 2
size of the total moment = 0.0 μB/f.u.

***

(9)
Material: TbPr2Cd3Ir2Pt
Method: DFT, PBE-GGA
State: relaxed

Lattice parameters (Å, degrees): 4.050 7.606 7.606 119.78 90.00 90.00
Fractional positions:
Tb  0.000  0.000  0.000
Pr  0.000  0.182  0.593
Pr  0.000  0.593  0.182
Cd  0.500  0.338  0.338
Cd  0.500  0.593  0.847
Cd  0.500  0.847  0.593
Ir  0.500  0.253  0.928
Ir  0.500  0.928  0.253
Pt  0.000  0.598  0.598

Output
energy relative to the elements = -14.42 kcal/mol of atoms
symmetry = Amm2, No. 38
size of the total moment = 0.0 μB/f.u.

***

(10)
Material: CdIr2Pt
Method: DFT, PBE-GGA
State: relaxed

Lattice parameters (Å, degrees): 4.506 4.506 4.506 60.00 60.00 60.00
Fractional positions:
Cd  0.000  0.000  0.000
Ir  0.250  0.250  0.250
Ir  0.500  0.500  0.500
Pt  0.750  0.750  0.750

Output
energy relative to the elements = 8.30 kcal/mol of atoms
symmetry = F-43m, No. 216
size of the total moment = 0.1 μB/f.u.

***

(11)
Material: CdIrPt
Method: DFT, PBE-GGA
State: relaxed

Lattice parameters (Å, degrees): 4.370 4.370 4.370 60.00 60.00 60.00
Fractional positions:
Cd  0.000  0.000  0.000
Ir  0.500  0.500  0.500
Pt  0.250  0.250  0.250

Output
energy relative to the elements = 9.88 kcal/mol of atoms
symmetry = F-43m, No. 216
size of the total moment = 1.0 μB/f.u.
distance to the lowest polymorph of the same formula = 0.000 eV per atom

***

(12)
Material: Cd2IrPt
Method: DFT, PBE-GGA
State: relaxed

Lattice parameters (Å, degrees): 4.609 4.609 4.609 60.00 60.00 60.00
Fractional positions:
Cd  0.000  0.000  0.000
Cd  0.250  0.250  0.250
Ir  0.750  0.750  0.750
Pt  0.500  0.500  0.500

Output
energy relative to the elements = 2.79 kcal/mol of atoms
symmetry = F-43m, No. 216
size of the total moment = 0.0 μB/f.u.

***

(13)
Material: Cd4Si2IrPt
Method: DFT, PBE-GGA
State: relaxed

Lattice parameters (Å, degrees): 4.289 4.289 9.093 90.00 90.00 120.00
Fractional positions:
Cd  0.000  0.000  0.169
Cd  0.000  0.000  0.831
Cd  0.333  0.667  0.326
Cd  0.333  0.667  0.674
Si  0.667  0.333  0.000
Si  0.667  0.333  0.500
Ir  0.333  0.667  0.000
Pt  0.000  0.000  0.500

Output
symmetry = P-6m2, No. 187
raw total energy = -3.89 eV per atom
size of the total moment = 0.0 μB/f.u.

***

(14)
Material: TbTm2Cd3Ir2Pt
Method: DFT, PBE-GGA
State: relaxed

Lattice parameters (Å, degrees): 3.910 7.483 7.483 120.16 90.00 90.00
Fractional positions:
Tb  0.000  0.000  0.000
Tm  0.000  0.407  0.814
Tm  0.000  0.814  0.407
Cd  0.500  0.147  0.407
Cd  0.500  0.407  0.147
Cd  0.500  0.669  0.669
Ir  0.500  0.075  0.738
Ir  0.500  0.738  0.075
Pt  0.000  0.410  0.410

Output
energy relative to the elements = -15.37 kcal/mol of atoms
symmetry = Amm2, No. 38
size of the total moment = 0.0 μB/f.u.

***

(15)
Material: TbY2Cd3Ir2Pt
Method: DFT, PBE-GGA
State: relaxed

Lattice parameters (Å, degrees): 3.955 7.503 7.503 119.91 90.00 90.00
Fractional positions:
Tb  0.000  0.000  0.000
Y  0.000  0.408  0.815
Y  0.000  0.815  0.408
Cd  0.500  0.149  0.409
Cd  0.500  0.409  0.149
Cd  0.500  0.665  0.665
Ir  0.500  0.074  0.742
Ir  0.500  0.742  0.074
Pt  0.000  0.407  0.407

Output
energy relative to the elements = -15.25 kcal/mol of atoms
symmetry = Amm2, No. 38
size of the total moment = 0.0 μB/f.u.

***

(16)
Material: Tb2YCd3Ir2Pt
Method: DFT, PBE-GGA
State: relaxed

Lattice parameters (Å, degrees): 3.954 7.513 7.513 120.09 90.00 90.00
Fractional positions:
Tb  0.000  0.204  0.796
Tb  0.000  0.796  0.204
Y  0.000  0.611  0.611
Cd  0.500  0.205  0.462
Cd  0.500  0.462  0.205
Cd  0.500  0.944  0.944
Ir  0.500  0.537  0.872
Ir  0.500  0.872  0.537
Pt  0.000  0.203  0.203

Output
energy relative to the elements = -15.30 kcal/mol of atoms
symmetry = Amm2, No. 38
size of the total moment = 0.0 μB/f.u.

***

(17)
Material: Y2TmCd3Ir2Pt
Method: DFT, PBE-GGA
State: relaxed

Lattice parameters (Å, degrees): 3.935 7.479 7.479 119.77 90.00 90.00
Fractional positions:
Y  0.000  0.204  0.796
Y  0.000  0.796  0.204
Tm  0.000  0.390  0.390
Cd  0.500  0.054  0.054
Cd  0.500  0.537  0.798
Cd  0.500  0.798  0.537
Ir  0.500  0.134  0.461
Ir  0.500  0.461  0.134
Pt  0.000  0.792  0.792

Output
energy relative to the elements = -15.27 kcal/mol of atoms
symmetry = Amm2, No. 38
size of the total moment = 0.0 μB/f.u.

***

(18)
Material: YTm2Cd3Ir2Pt
Method: DFT, PBE-GGA
State: relaxed

Lattice parameters (Å, degrees): 3.873 7.527 7.527 120.18 90.00 90.00
Fractional positions:
Y  0.000  0.000  0.000
Tm  0.000  0.187  0.593
Tm  0.000  0.593  0.187
Cd  0.500  0.329  0.329
Cd  0.500  0.594  0.854
Cd  0.500  0.854  0.594
Ir  0.500  0.264  0.925
Ir  0.500  0.925  0.264
Pt  0.000  0.589  0.589

Output
energy relative to the elements = -15.36 kcal/mol of atoms
symmetry = Amm2, No. 38
size of the total moment = 0.0 μB/f.u.

***

(19)
Material: RbCdIr
Method: DFT, PBE-GGA
State: relaxed

Lattice parameters (Å, degrees): 5.369 5.369 5.369 60.00 60.00 60.00
Fractional positions:
Rb  0.000  0.000  0.000
Cd  0.750  0.750  0.750
Ir  0.250  0.250  0.250

Output
symmetry = F-43m, No. 216
size of the total moment = 1.7 μB/f.u.
distance to the lowest polymorph of the same formula = 0.790 eV per atom

***

(20)
Material: RbCdIr
Method: DFT, PBE-GGA
State: relaxed

Lattice parameters (Å, degrees): 4.899 4.899 4.899 60.00 60.00 60.00
Fractional positions:
Rb  0.000  0.000  0.000
Cd  0.500  0.500  0.500
Ir  0.750  0.750  0.750

Output
symmetry = F-43m, No. 216
size of the total moment = 0.0 μB/f.u.
distance to the lowest polymorph of the same formula = 0.000 eV per atom

***

(21)
Material: CdReIr
Method: DFT, PBE-GGA
State: relaxed

Lattice parameters (Å, degrees): 4.292 4.292 4.292 60.00 60.00 60.00
Fractional positions:
Cd  0.000  0.000  0.000
Re  0.500  0.500  0.500
Ir  0.250  0.250  0.250

Output
energy relative to the elements = 12.99 kcal/mol of atoms
symmetry = F-43m, No. 216
size of the total moment = 0.0 μB/f.u.
distance to the lowest polymorph of the same formula = 0.000 eV per atom

***

(22)
Material: CdReIr2
Method: DFT, PBE-GGA
State: relaxed

Lattice parameters (Å, degrees): 4.468 4.468 4.468 60.00 60.00 60.00
Fractional positions:
Cd  0.000  0.000  0.000
Re  0.750  0.750  0.750
Ir  0.250  0.250  0.250
Ir  0.500  0.500  0.500

Output
energy relative to the elements = 14.00 kcal/mol of atoms
symmetry = F-43m, No. 216
size of the total moment = 0.6 μB/f.u.

***

(23)
Material: Cd2ReIr
Method: DFT, PBE-GGA
State: relaxed

Lattice parameters (Å, degrees): 4.576 4.576 4.576 60.00 60.00 60.00
Fractional positions:
Cd  0.000  0.000  0.000
Cd  0.250  0.250  0.250
Re  0.500  0.500  0.500
Ir  0.750  0.750  0.750

Output
energy relative to the elements = 14.35 kcal/mol of atoms
symmetry = F-43m, No. 216
size of the total moment = 1.5 μB/f.u.

***

(24)
Material: CdIr2Se3S
Method: DFT, PBE-GGA
State: relaxed

Lattice parameters (Å, degrees): 5.620 5.939 6.112 64.24 63.41 89.61
Fractional positions:
Cd  0.000  0.000  0.000
Ir  0.541  0.484  0.015
Ir  0.750  0.291  0.399
Se  0.140  0.580  0.295
Se  0.420  0.417  0.710
Se  0.854  0.900  0.681
S  0.519  0.073  0.299

Output
symmetry = P1, No. 1
raw total energy = -4.80 eV per atom
size of the total moment = 0.0 μB/f.u.

***

(25)
Material: Cd2SbIr
Method: DFT, PBE-GGA
State: relaxed

Lattice parameters (Å, degrees): 4.823 4.823 4.823 60.00 60.00 60.00
Fractional positions:
Cd  0.000  0.000  0.000
Cd  0.250  0.250  0.250
Sb  0.500  0.500  0.500
Ir  0.750  0.750  0.750

Output
symmetry = F-43m, No. 216
raw total energy = -3.42 eV per atom
size of the total moment = 0.0 μB/f.u.

***

(26)
Material: CdSiIr2
Method: DFT, PBE-GGA
State: relaxed

Lattice parameters (Å, degrees): 4.462 4.462 4.462 60.00 60.00 60.00
Fractional positions:
Cd  0.000  0.000  0.000
Si  0.750  0.750  0.750
Ir  0.250  0.250  0.250
Ir  0.500  0.500  0.500

Output
symmetry = F-43m, No. 216
raw total energy = -5.62 eV per atom
size of the total moment = 0.0 μB/f.u.

***

(27)
Material: CdSi2Ir
Method: DFT, PBE-GGA
State: relaxed

Lattice parameters (Å, degrees): 4.496 4.496 4.496 60.00 60.00 60.00
Fractional positions:
Cd  0.000  0.000  0.000
Si  0.250  0.250  0.250
Si  0.500  0.500  0.500
Ir  0.750  0.750  0.750

Output
symmetry = F-43m, No. 216
raw total energy = -4.72 eV per atom
size of the total moment = 0.0 μB/f.u.